i | VASP calculation (PBE+U) on a relaxed CrInIO2 crystal.

```
CrInIO2
1.0
4.1525 0.0000 0.0000
0.0000 4.1525 0.0000
0.0000 0.0000 5.5304
Cr In I O
1 1 1 2
Cartesian
0.0000 0.0000 0.0000 Cr
2.0762 2.0762 2.7652 In
0.0000 0.0000 2.7652 I
0.0000 2.0762 0.0000 O
2.0762 0.0000 0.0000 O
```

Values from the calculation:
Volume, Å³ per cell: 95.4
ρ, Mg/m³: 5.7
SG: No. 123
DOS at the Fermi energy, states/eV per cell: 3.61



ii | VASP calculation (PBE+U) on a relaxed CrInIO2 crystal.

```
CrInIO2
1.0
4.1356 0.0000 0.0000
0.0000 4.1356 0.0000
0.0000 0.0000 6.5015
Cr In I O
1 1 1 2
Cartesian
0.0000 0.0000 0.0000 Cr
2.0678 2.0678 3.2507 In
2.0678 2.0678 0.0000 I
0.0000 2.0678 3.2507 O
2.0678 0.0000 3.2507 O
```

Values from the calculation:
Volume, Å³ per cell: 111.2
ρ, Mg/m³: 4.9
SG: No. 123
DOS at the Fermi energy, states/eV per cell: 2.02



In kJ/mol of atoms, relative to the most stable structure: i 0.0; ii 7.1.